# 1
A relaxed structure of BaLiSi2W, computed with PBE.

Results
Total magnetic moment (μB per cell): 0.00
Total DFT energy (no corrections) (eV per atom): -4.167
Mass density (kg/m3): 6226
ΔE_f (raw) (meV/atom): 1360.3

```
BaLiSi2W
1.0
4.5669 0.0000 0.0000
0.0000 4.5669 0.0000
0.0000 0.0000 4.9138
Ba Li Si W
1 1 2 1
Direct
0.0000 0.0000 0.0000
0.0000 0.0000 0.5000
0.0000 0.5000 0.5000
0.5000 0.0000 0.5000
0.5000 0.5000 0.0000
```

***

# 2
A relaxed structure of K4RbF5, computed with PBE.

Results
Total magnetic moment (μB per cell): 0.39
Total DFT energy (no corrections) (eV per atom): -4.182
Mass density (kg/m3): 2716
ΔE_f (raw) (meV/atom): -2710.8

```
K4RbF5
1.0
-1.9409 1.9409 13.6664
1.9409 -1.9409 13.6664
1.9409 1.9409 -13.6664
K Rb F
4 1 5
Direct
0.1027 0.1027 0.0000
0.2990 0.2990 0.0000
0.7010 0.7010 0.0000
0.8973 0.8973 0.0000
0.5000 0.5000 0.0000
0.0000 0.0000 0.0000
0.2008 0.2008 0.0000
0.3969 0.3969 0.0000
0.6031 0.6031 0.0000
0.7992 0.7992 0.0000
```

***

# 3
A relaxed structure of PrThSn6, computed with PBE.

Results
Total magnetic moment (μB per cell): 0.00
Energy relative to the elements (eV per atom): -0.475
Total DFT energy (no corrections) (eV per atom): -5.002
Mass density (kg/m3): 8309

```
PrThSn6
1.0
4.7660 0.0000 0.0000
0.0000 4.7660 0.0000
0.0000 0.0000 9.5482
Pr Th Sn
1 1 6
Direct
0.0000 0.0000 0.0000
0.0000 0.0000 0.5000
0.0000 0.5000 0.2513
0.0000 0.5000 0.7487
0.5000 0.0000 0.2513
0.5000 0.0000 0.7487
0.5000 0.5000 0.0000
0.5000 0.5000 0.5000
```

***

# 4
A relaxed structure of NbCl5, computed with PBE.

Results
Total magnetic moment (μB per cell): 0.00
Total DFT energy (no corrections) (eV per atom): -4.351
Mass density (kg/m3): 2192
ΔE_f (raw) (meV/atom): -1134.0

```
NbCl5
1.0
9.0402 0.0000 0.0000
0.0000 9.0402 0.0000
0.0000 0.0000 5.0083
Nb Cl
2 10
Direct
0.0000 0.0000 0.0000
0.5000 0.5000 0.5000
0.0000 0.0000 0.5000
0.0611 0.2508 0.0000
0.2492 0.5611 0.5000
0.2508 0.9389 0.0000
0.4389 0.2492 0.5000
0.5000 0.5000 0.0000
0.5611 0.7508 0.5000
0.7492 0.0611 0.0000
0.7508 0.4389 0.5000
0.9389 0.7492 0.0000
```

***

# 5
A relaxed structure of Cs3Cu2I7, computed with PBE.

Results
Total magnetic moment (μB per cell): 0.00
Total DFT energy (no corrections) (eV per atom): -2.576
Mass density (kg/m3): 4891
ΔE_f (raw) (meV/atom): -775.2

```
Cs3Cu2I7
1.0
2.9053 -14.6473 0.0000
2.9053 14.6473 0.0000
0.0000 0.0000 5.6407
Cs Cu I
3 2 7
Direct
0.0000 0.0000 0.0000
0.1832 0.8168 0.0000
0.8168 0.1832 0.0000
0.4021 0.5979 0.5000
0.5979 0.4021 0.5000
0.0932 0.9068 0.5000
0.3085 0.6915 0.5000
0.4068 0.5932 0.0000
0.5000 0.5000 0.5000
0.5932 0.4068 0.0000
0.6915 0.3085 0.5000
0.9068 0.0932 0.5000
```

***

# 6
A relaxed structure of Nd8As6Se, computed with PBE.

Results
Total magnetic moment (μB per cell): 0.00
Total DFT energy (no corrections) (eV per atom): -5.815
Mass density (kg/m3): 6254
ΔE_f (raw) (meV/atom): -1180.1

```
Nd8As6Se
1.0
10.7559 0.0000 0.0000
-5.3780 9.3149 0.0000
0.0000 0.0000 4.4587
Nd As Se
8 6 1
Direct
0.0321 0.6951 0.2610
0.3049 0.3370 0.2610
0.3333 0.6667 0.7458
0.3370 0.0321 0.7390
0.6630 0.9679 0.2610
0.6667 0.3333 0.2542
0.6951 0.6630 0.7390
0.9679 0.3049 0.7390
0.1325 0.4767 0.2413
0.3441 0.8675 0.2413
0.4767 0.3441 0.7587
0.5233 0.6559 0.2413
0.6559 0.1325 0.7587
0.8675 0.5233 0.7587
0.0000 0.0000 0.5000
```

***

Repeat the sixth record exactly.
A relaxed structure of Nd8As6Se, computed with PBE.

Results
Total magnetic moment (μB per cell): 0.00
Total DFT energy (no corrections) (eV per atom): -5.815
Mass density (kg/m3): 6254
ΔE_f (raw) (meV/atom): -1180.1

```
Nd8As6Se
1.0
10.7559 0.0000 0.0000
-5.3780 9.3149 0.0000
0.0000 0.0000 4.4587
Nd As Se
8 6 1
Direct
0.0321 0.6951 0.2610
0.3049 0.3370 0.2610
0.3333 0.6667 0.7458
0.3370 0.0321 0.7390
0.6630 0.9679 0.2610
0.6667 0.3333 0.2542
0.6951 0.6630 0.7390
0.9679 0.3049 0.7390
0.1325 0.4767 0.2413
0.3441 0.8675 0.2413
0.4767 0.3441 0.7587
0.5233 0.6559 0.2413
0.6559 0.1325 0.7587
0.8675 0.5233 0.7587
0.0000 0.0000 0.5000
```